Record 1
A plane-wave DFT calculation with PBE was carried out for a relaxed CrSb3Os crystal.

a = 4.897 Å, b = 4.897 Å, c = 4.897 Å
α = 90.00°, β = 90.00°, γ = 90.00°
Each line ends with the local moment (μB).
Atoms (fractional coordinates):
Sb 0.500 0.000 0.000  -0.07
Sb 0.000 0.500 0.000  -0.07
Sb 0.000 0.000 0.500  -0.05
Cr 0.000 0.000 0.000  0.59
Os 0.500 0.500 0.500  1.16

Output
- VASP energy (eV per atom) = -5.36
- size of the total moment (μB per formula unit) = 1.6

Record 2
A plane-wave DFT calculation with PBE was carried out for a relaxed CrSbOs2 crystal.

a = 2.956 Å, b = 2.956 Å, c = 7.039 Å
α = 90.00°, β = 90.00°, γ = 90.00°
Atoms (fractional coordinates):
Os 0.000 0.000 0.530
Os 0.000 0.000 0.970
Cr 0.500 0.500 0.750
Sb 0.500 0.500 0.250

Output
- VASP energy (eV per atom) = -8.59
- size of the total moment (μB per formula unit) = 0.0

Record 3
A plane-wave DFT calculation with PBE was carried out for a relaxed CrSbOs2 crystal.

a = 2.932 Å, b = 3.904 Å, c = 5.478 Å
α = 90.00°, β = 90.00°, γ = 90.00°
Each line ends with the local moment (μB).
Atoms (fractional coordinates):
Cr 0.500 0.500 0.785  2.19
Os 0.500 0.500 0.253  0.12
Os 0.000 0.000 0.974  -0.25
Sb 0.000 0.000 0.488  -0.01

Output
- VASP energy (eV per atom) = -8.58
- size of the total moment (μB per formula unit) = 2.2

Record 4
A plane-wave DFT calculation with PBE was carried out for a relaxed CrSbOs2 crystal.

a = 8.669 Å, b = 8.669 Å, c = 8.669 Å
α = 19.22°, β = 19.22°, γ = 19.22°
Atoms (fractional coordinates):
Cr 0.747 0.747 0.747
Os 0.003 0.003 0.003
Os 0.252 0.252 0.252
Sb 0.498 0.498 0.498

Output
- VASP energy (eV per atom) = -8.48
- size of the total moment (μB per formula unit) = 0.0